A relaxed structure of PmH. Source: Alexandria, functional PBE-GGA.

Unit cell a=6.6671 b=6.6671 c=6.6671 alpha=149.18 beta=149.18 gamma=44.14
Atoms (fractional coordinates):
1 Pm 0.1301 0.1301 0.0000
2 Pm 0.8699 0.8699 0.0000
3 H 0.0000 0.5000 0.5000
4 H 0.5000 0.0000 0.5000

Values from the calculation:
Excess energy over the best structure of this formula in the dataset = 224 meV/atom
Mass density = 6.25 g cm⁻³
Raw total energy = -0.312 Ry/atom